# 1
# Nb3H12Ir5, relaxed, DFT PBE
# E_tot ... -5.55 eV per atom
data_Nb3H12Ir5
_symmetry_space_group_name_H-M 'I a -3 d'
_symmetry_Int_Tables_number 230
_symmetry_space_group_name_Hall '-I 4bd 2c 3'
_cell_length_a 11.083
_cell_length_b 11.083
_cell_length_c 11.083
_cell_angle_alpha 90.00
_cell_angle_beta 90.00
_cell_angle_gamma 90.00
loop_
_atom_site_label
_atom_site_fract_x
_atom_site_fract_y
_atom_site_fract_z
Nb1 0.000 0.250 0.125
H1 0.019 0.066 0.650
Ir1 0.000 0.000 0.000
Ir2 0.000 0.250 0.375

# 2
# NbHIr3, relaxed, DFT PBE
# ΔE to the lowest computed polymorph ... 0 meV/atom
data_NbHIr3
_symmetry_space_group_name_H-M 'I m m m'
_symmetry_Int_Tables_number 71
_symmetry_space_group_name_Hall '-I 2 2'
_cell_length_a 5.590
_cell_length_b 5.599
_cell_length_c 8.078
_cell_angle_alpha 90.00
_cell_angle_beta 90.00
_cell_angle_gamma 90.00
loop_
_atom_site_label
_atom_site_fract_x
_atom_site_fract_y
_atom_site_fract_z
Nb1 0.000 0.000 0.237
H1 0.000 0.000 0.500
H2 0.000 0.500 0.000
Ir1 0.000 0.500 0.254
Ir2 0.249 0.256 0.500